(1)
CaBeOs2 | GGA-PBE | relaxed

Lattice parameters (Å, degrees): 4.0892 2.7279 5.9354 77.36 90.00 90.00
Closest atoms and distances in Å follow each position.
Fractional coordinates of all 4 atoms:
Be (0.5000, 0.2500, 0.2500)  4 Os 2.42
Ca (0.5000, 0.7500, 0.7500)  2 Ca 2.73, 2 Be 2.98, 4 Os 3.02
Os (0.0000, 0.0816, 0.0606)  2 Be 2.42, 2 Os 2.56-2.61
Os (0.0000, 0.4184, 0.4394)  2 Be 2.42, 2 Os 2.56-2.61

For the final energy, the calculation gives -26.15 eV per cell. The calculation puts the formation energy from the elements at 2.034 eV/f.u.

***

(2)
Ca2BeOs | GGA-PBE | relaxed

Lattice parameters (Å, degrees): 3.2433 3.2433 8.1214 90.00 90.00 90.00
Closest atoms and distances in Å follow each position.
Fractional coordinates of all 4 atoms:
Be (0.5000, 0.5000, 0.6580)  4 Os 2.36, 1 Ca 2.64
Ca (0.0000, 0.0000, 0.9222)  1 Os 2.72
Ca (0.5000, 0.5000, 0.3323)  1 Be 2.64
Os (0.0000, 0.0000, 0.5875)  4 Be 2.36

For the final energy, the calculation gives -18.55 eV per cell. The calculation puts the formation energy from the elements at 0.409 eV/f.u.